# 1
The following is a PBE calculation of a geometry-optimized PrNd2DyTm5 structure, from the Alexandria database.

Cell and atoms, written as extended XYZ:
```
18
Lattice="-2.1765 -0.7773 8.3986 6.0226 -6.2157 0.9855 3.2750 8.8248 -2.8519" Properties=species:S:1:pos:R:3 pbc="T T T"
Tm 1.8715 4.9450 3.5600
Tm 1.9231 -3.4965 4.6921
Tm 1.4555 -0.9492 7.4240
Tm 5.2496 -3.1131 2.9722
Tm 2.4815 5.8272 -0.7175
Tm 5.6656 2.7811 -0.8918
Tm 2.0655 -0.0670 3.1465
Tm 5.0557 1.8988 3.3858
Tm 4.6397 -3.9953 7.2498
Tm 0.0000 0.0000 0.0000
Nd 2.0557 -2.4740 1.3567
Nd 1.7904 -4.5189 8.0274
Nd -0.6400 -1.2036 5.2930
Nd 4.4861 -5.7893 4.0911
Pr 2.5990 2.6642 0.9201
Pr 4.5221 -0.8323 5.6122
Dy 1.5108 2.2755 5.1194
Dy 5.6103 -0.4437 1.4128
```

Results
N(E_F) = 19.243 states/eV per cell
magnetization = 0.0 μB/cell
energy = -38.9 eV/f.u.
ΔH_f (0 K) = 260.8 meV/atom

---

# 2
The following is a PBE calculation of a geometry-optimized PrNdDyTm3 structure, from the Alexandria database.

Cell and atoms, written as extended XYZ:
```
12
Lattice="-1.1222 5.5687 -1.3667 -3.6070 -4.4748 -2.7820 -7.6172 0.6372 8.8507" Properties=species:S:1:pos:R:3 pbc="T T T"
Nd -6.0419 -1.5184 -1.2259
Nd -6.3045 3.2495 5.9278
Tm -2.0291 2.2023 -1.8498
Tm -10.3173 -0.4711 6.5517
Tm -6.5634 -0.7850 2.1904
Tm -7.1415 -0.1014 5.4506
Tm -5.2050 1.8325 -0.7487
Tm -5.7830 2.5162 2.5115
Dy -3.3737 -0.4364 0.9920
Dy -8.9728 2.1675 3.7099
Pr 0.0000 0.0000 0.0000
Pr -3.8086 0.3186 4.4253
```

Results
N(E_F) = 24.272 states/eV per cell
magnetization = 0.0 μB/cell
energy = -26.9 eV/f.u.
ΔH_f (0 K) = 110.2 meV/atom

---

# 3
The following is a PBE calculation of a geometry-optimized Pr4Nd2DyTm structure, from the Alexandria database.

Cell and atoms, written as extended XYZ:
```
8
Lattice="5.2033 0.0000 0.0000 0.0000 5.0460 1.1327 0.0001 2.8119 11.1515" Properties=species:S:1:pos:R:3 pbc="T T T"
Tm 0.0001 3.9289 6.1421
Pr 0.0001 5.8982 9.1995
Pr 5.2033 1.9597 3.0847
Pr 2.6017 3.3710 8.6436
Pr 2.6017 4.4869 3.6406
Dy 2.6017 2.5230 0.5664
Nd 2.6017 1.4060 5.5757
Nd 0.0001 2.8119 11.1514
```

Results
N(E_F) = 11.337 states/eV per cell
magnetization = 0.0 μB/cell
energy = -37.6 eV/f.u.
ΔH_f (0 K) = 14.4 meV/atom

---

# 4
The following is a PBE calculation of a geometry-optimized PrNd5Dy2Tm structure, from the Alexandria database.

Cell and atoms, written as extended XYZ:
```
18
Lattice="5.6705 0.0000 0.0000 -2.8353 10.2306 0.0000 0.0000 0.0000 10.8044" Properties=species:S:1:pos:R:3 pbc="T T T"
Nd 2.8353 0.3968 2.6288
Nd 0.0000 0.3298 0.2325
Nd 2.8353 4.4740 8.7292
Nd 2.8353 9.9008 5.6347
Nd 0.0000 9.8338 8.0310
Nd 0.0000 5.7566 3.3270
Nd 0.0000 6.0686 7.5995
Nd 2.8353 2.2230 5.6676
Nd 0.0000 8.0075 0.2654
Nd 2.8353 4.1619 2.1973
Tm 0.0000 8.3784 4.9778
Tm 2.8353 1.8521 10.3800
Pr 2.8353 6.0978 5.4977
Pr 0.0000 4.1327 0.0955
Dy 0.0000 2.2499 7.9779
Dy 0.0000 2.3746 3.4069
Dy 2.8353 7.9807 2.5757
Dy 2.8353 7.8560 8.8092
```

Results
N(E_F) = 28.072 states/eV per cell
magnetization = 0.0 μB/cell
energy = -41.0 eV/f.u.
ΔH_f (0 K) = 142.0 meV/atom

---

# 5
The following is a PBE calculation of a geometry-optimized Pr2NdDy3Tm6 structure, from the Alexandria database.

Cell and atoms, written as extended XYZ:
```
12
Lattice="6.1687 0.0017 0.0097 -3.0814 5.3440 0.0097 -1.0421 -1.8044 11.5108" Properties=species:S:1:pos:R:3 pbc="T T T"
Tm 2.0539 -0.0015 2.9293
Tm 2.0574 3.5624 2.9387
Tm -0.0122 -0.0212 8.5914
Tm -1.0278 1.7783 2.9293
Tm -0.0087 3.5428 8.6009
Tm 3.0730 1.7630 8.6009
Dy -2.0609 3.5515 5.7651
Dy 4.1061 -0.0102 5.7651
Dy 1.0226 1.7706 5.7651
Nd 0.0000 0.0000 0.0000
Pr 3.0853 1.7825 0.0097
Pr 0.0020 3.5632 0.0097
```

Results
N(E_F) = 15.094 states/eV per cell
magnetization = 0.0 μB/cell
energy = -54.7 eV/f.u.
ΔH_f (0 K) = 23.5 meV/atom

---

# 6
The following is a PBE calculation of a geometry-optimized PrNd4Dy2Tm structure, from the Alexandria database.

Cell and atoms, written as extended XYZ:
```
8
Lattice="3.6408 0.0000 0.0000 0.0000 6.2702 -0.1638 0.0000 2.4271 11.7242" Properties=species:S:1:pos:R:3 pbc="T T T"
Nd 3.6408 2.1783 2.9340
Nd 1.8204 5.3188 2.8407
Nd 1.8204 3.3786 8.7197
Nd 0.0001 6.5191 8.6265
Dy 1.8204 1.2136 5.8621
Dy 0.0000 2.4271 11.7242
Pr 1.8204 3.1351 -0.0819
Tm 0.0000 4.3487 5.7803
```

Results
N(E_F) = 11.038 states/eV per cell
magnetization = 0.0 μB/cell
energy = -37.4 eV/f.u.
ΔH_f (0 K) = 17.6 meV/atom